Entry a
First-principles (SCAN) data for a crystal of SeBr2Cl relaxed with PBEsol, as listed in the Alexandria database. Values from VASP.

Quantum ESPRESSO input file:
```
&SYSTEM
  ibrav = 0, nat = 4, ntyp = 3
/
ATOMIC_SPECIES
Se 78.96 Se.upf
Br 79.90 Br.upf
Cl 35.45 Cl.upf
CELL_PARAMETERS angstrom
3.836 0.000 0.000
0.000 3.836 0.000
0.000 0.000 7.141
ATOMIC_POSITIONS crystal
Se 0.000 0.000 0.500
Br 0.000 0.500 0.000
Br 0.500 0.000 0.000
Cl 0.500 0.500 0.500
```

Output
Crystal system = tetragonal
Calculated volume = 26.3 Å³/atom
Mass density = 4.3 g/cm3

***

Entry b
First-principles (SCAN) data for a crystal of SeBr2Cl relaxed with PBEsol, as listed in the Alexandria database. Values from VASP.

Quantum ESPRESSO input file:
```
&SYSTEM
  ibrav = 0, nat = 4, ntyp = 3
/
ATOMIC_SPECIES
Se 78.96 Se.upf
Br 79.90 Br.upf
Cl 35.45 Cl.upf
CELL_PARAMETERS angstrom
3.149 0.000 0.000
0.000 3.149 0.000
0.000 0.000 9.335
ATOMIC_POSITIONS crystal
Se 0.500 0.500 0.749
Br 0.000 0.000 0.942
Br 0.500 0.500 0.245
Cl 0.000 0.000 0.564
```

Output
Crystal system = tetragonal
Calculated volume = 23.1 Å³/atom
Mass density = 4.9 g/cm3

***

Entry c
First-principles (SCAN) data for a crystal of SeBr2Cl relaxed with PBEsol, as listed in the Alexandria database. Values from VASP.

Quantum ESPRESSO input file:
```
&SYSTEM
  ibrav = 0, nat = 4, ntyp = 3
/
ATOMIC_SPECIES
Se 78.96 Se.upf
Br 79.90 Br.upf
Cl 35.45 Cl.upf
CELL_PARAMETERS angstrom
4.117 0.000 0.000
2.058 3.565 0.000
2.058 1.188 6.758
ATOMIC_POSITIONS crystal
Se 0.000 0.000 0.000
Br 0.264 0.264 0.209
Br 0.736 0.736 0.791
Cl 0.500 0.500 0.500
```

Output
Crystal system = trigonal
Calculated volume = 24.8 Å³/atom
Mass density = 4.6 g/cm3

***

Entry d
First-principles (SCAN) data for a crystal of SeBr2Cl relaxed with PBEsol, as listed in the Alexandria database. Values from VASP.

Quantum ESPRESSO input file:
```
&SYSTEM
  ibrav = 0, nat = 4, ntyp = 3
/
ATOMIC_SPECIES
Se 78.96 Se.upf
Br 79.90 Br.upf
Cl 35.45 Cl.upf
CELL_PARAMETERS angstrom
-4.054 -0.687 -2.716
-3.877 -2.363 1.915
-4.123 2.483 1.056
ATOMIC_POSITIONS crystal
Se 0.000 0.000 0.000
Br 0.750 0.750 0.750
Br 0.250 0.250 0.250
Cl 0.500 0.500 0.500
```

Output
Crystal system = cubic
Calculated volume = 21.2 Å³/atom
Mass density = 5.4 g/cm3

***

Taking the most stable structure as the zero point, the relative energies in meV/atom are entry a 72; entry b 266; entry c 0; entry d 312.

***

Entry a
First-principles (SCAN) data for a crystal of SrBr2Cl relaxed with PBEsol, as listed in the Alexandria database. Values from VASP.

Quantum ESPRESSO input file:
```
&SYSTEM
  ibrav = 0, nat = 4, ntyp = 3
/
ATOMIC_SPECIES
Sr 87.62 Sr.upf
Br 79.90 Br.upf
Cl 35.45 Cl.upf
CELL_PARAMETERS angstrom
-0.142 -4.915 -2.470
-0.875 -4.548 2.972
-4.342 -2.754 -0.399
ATOMIC_POSITIONS crystal
Sr 0.000 0.000 0.000
Br 0.266 0.266 0.201
Br 0.734 0.734 0.799
Cl 0.500 0.500 0.500
```

Output
Crystal system = trigonal
Calculated volume = 26.6 Å³/atom
Mass density = 4.4 g/cm3

***

Entry b
First-principles (SCAN) data for a crystal of SrBr2Cl relaxed with PBEsol, as listed in the Alexandria database. Values from VASP.

Quantum ESPRESSO input file:
```
&SYSTEM
  ibrav = 0, nat = 8, ntyp = 3
/
ATOMIC_SPECIES
Sr 87.62 Sr.upf
Br 79.90 Br.upf
Cl 35.45 Cl.upf
CELL_PARAMETERS angstrom
-0.576 3.816 2.051
-3.731 0.614 -2.190
-3.726 -7.664 8.558
ATOMIC_POSITIONS crystal
Sr 0.250 0.750 0.500
Sr 0.000 0.000 0.000
Br 0.367 0.875 0.250
Br 0.883 0.375 0.250
Br 0.125 0.117 0.750
Br 0.625 0.633 0.750
Cl 0.750 0.250 0.500
Cl 0.500 0.500 0.000
```

Output
Crystal system = tetragonal
Calculated volume = 27.9 Å³/atom
Mass density = 4.2 g/cm3

***

Taking the most stable structure as the zero point, the relative energies in meV/atom are entry a 0; entry b 29.

***

Entry a
First-principles (SCAN) data for a crystal of SrBr2Cl relaxed with PBEsol, as listed in the Alexandria database. Values from VASP.

Quantum ESPRESSO input file:
```
&SYSTEM
  ibrav = 0, nat = 4, ntyp = 3
/
ATOMIC_SPECIES
Sr 87.62 Sr.upf
Br 79.90 Br.upf
Cl 35.45 Cl.upf
CELL_PARAMETERS angstrom
-2.946 -3.514 1.169
0.634 -2.373 4.045
-5.737 3.533 5.740
ATOMIC_POSITIONS crystal
Sr 0.500 0.500 0.500
Br 0.888 0.888 0.337
Br 0.112 0.112 0.663
Cl 0.000 0.000 0.000
```

Output
Crystal system = trigonal
Calculated volume = 40.8 Å³/atom
Mass density = 2.9 g/cm3

***

Entry b
First-principles (SCAN) data for a crystal of SrBr2Cl relaxed with PBEsol, as listed in the Alexandria database. Values from VASP.

Quantum ESPRESSO input file:
```
&SYSTEM
  ibrav = 0, nat = 4, ntyp = 3
/
ATOMIC_SPECIES
Sr 87.62 Sr.upf
Br 79.90 Br.upf
Cl 35.45 Cl.upf
CELL_PARAMETERS angstrom
-1.788 3.987 -2.778
-3.313 -4.126 0.822
-1.762 2.297 4.431
ATOMIC_POSITIONS crystal
Sr 0.245 0.729 0.500
Br 0.069 0.939 0.000
Br 0.582 0.383 0.500
Cl 0.104 0.449 0.000
```

Output
Crystal system = monoclinic
Calculated volume = 32.5 Å³/atom
Mass density = 3.6 g/cm3

***

Entry c
First-principles (SCAN) data for a crystal of SrBr2Cl relaxed with PBEsol, as listed in the Alexandria database. Values from VASP.

Quantum ESPRESSO input file:
```
&SYSTEM
  ibrav = 0, nat = 4, ntyp = 3
/
ATOMIC_SPECIES
Sr 87.62 Sr.upf
Br 79.90 Br.upf
Cl 35.45 Cl.upf
CELL_PARAMETERS angstrom
5.299 0.000 0.000
2.650 4.589 0.000
2.650 1.530 4.327
ATOMIC_POSITIONS crystal
Sr 0.250 0.250 0.250
Br 0.000 0.000 0.000
Br 0.750 0.750 0.750
Cl 0.500 0.500 0.500
```

Output
Crystal system = cubic
Calculated volume = 26.3 Å³/atom
Mass density = 4.5 g/cm3

***

Taking the most stable structure as the zero point, the relative energies in meV/atom are entry a 199; entry b 0; entry c 165.

***

Entry a
First-principles (SCAN) data for a crystal of Ta2BrCl relaxed with PBEsol, as listed in the Alexandria database. Values from VASP.

Quantum ESPRESSO input file:
```
&SYSTEM
  ibrav = 0, nat = 4, ntyp = 3
/
ATOMIC_SPECIES
Cl 35.45 Cl.upf
Br 79.90 Br.upf
Ta 180.95 Ta.upf
CELL_PARAMETERS angstrom
3.276 0.000 0.000
0.000 3.276 0.000
0.000 0.000 6.226
ATOMIC_POSITIONS crystal
Cl 0.500 0.500 0.500
Br 0.500 0.500 0.000
Ta 0.000 0.000 0.710
Ta 0.000 0.000 0.290
```

Output
Crystal system = tetragonal
Calculated volume = 16.7 Å³/atom
Mass density = 11.9 g/cm3

***

Entry b
First-principles (SCAN) data for a crystal of Ta2BrCl relaxed with PBEsol, as listed in the Alexandria database. Values from VASP.

Quantum ESPRESSO input file:
```
&SYSTEM
  ibrav = 0, nat = 8, ntyp = 3
/
ATOMIC_SPECIES
Cl 35.45 Cl.upf
Br 79.90 Br.upf
Ta 180.95 Ta.upf
CELL_PARAMETERS angstrom
-2.155 -2.892 -2.183
3.192 -0.314 -2.736
2.884 -4.453 7.125
ATOMIC_POSITIONS crystal
Cl 0.750 0.250 0.500
Cl 0.500 0.500 0.000
Br 0.250 0.750 0.500
Br 0.000 0.000 0.000
Ta 0.388 0.875 0.250
Ta 0.862 0.375 0.250
Ta 0.125 0.138 0.750
Ta 0.625 0.612 0.750
```

Output
Crystal system = tetragonal
Calculated volume = 18.6 Å³/atom
Mass density = 10.7 g/cm3

***

Taking the most stable structure as the zero point, the relative energies in meV/atom are entry a 565; entry b 0.

***

Entry a
First-principles (SCAN) data for a crystal of TcBrCl2 relaxed with PBEsol, as listed in the Alexandria database. Values from VASP.

Quantum ESPRESSO input file:
```
&SYSTEM
  ibrav = 0, nat = 4, ntyp = 3
/
ATOMIC_SPECIES
Tc 98.00 Tc.upf
Br 79.90 Br.upf
Cl 35.45 Cl.upf
CELL_PARAMETERS angstrom
-2.019 2.147 -1.193
-2.664 -0.956 -1.448
-6.029 0.662 7.161
ATOMIC_POSITIONS crystal
Tc 0.500 0.500 0.500
Br 0.000 0.000 0.000
Cl 0.223 0.223 0.331
Cl 0.777 0.777 0.669
```

Output
Crystal system = trigonal
Calculated volume = 20.1 Å³/atom
Mass density = 5.1 g/cm3

***

Entry b
First-principles (SCAN) data for a crystal of TcBrCl2 relaxed with PBEsol, as listed in the Alexandria database. Values from VASP.

Quantum ESPRESSO input file:
```
&SYSTEM
  ibrav = 0, nat = 4, ntyp = 3
/
ATOMIC_SPECIES
Tc 98.00 Tc.upf
Br 79.90 Br.upf
Cl 35.45 Cl.upf
CELL_PARAMETERS angstrom
-3.628 0.639 -1.771
0.421 -3.890 -2.265
-2.039 -2.193 3.387
ATOMIC_POSITIONS crystal
Tc 0.500 0.500 0.500
Br 0.500 0.000 0.000
Cl 0.000 0.000 0.500
Cl 0.000 0.500 0.000
```

Output
Crystal system = tetragonal
Calculated volume = 20.9 Å³/atom
Mass density = 4.9 g/cm3

***

Entry c
First-principles (SCAN) data for a crystal of TcBrCl2 relaxed with PBEsol, as listed in the Alexandria database. Values from VASP.

Quantum ESPRESSO input file:
```
&SYSTEM
  ibrav = 0, nat = 4, ntyp = 3
/
ATOMIC_SPECIES
Tc 98.00 Tc.upf
Br 79.90 Br.upf
Cl 35.45 Cl.upf
CELL_PARAMETERS angstrom
2.892 0.000 0.000
-1.446 2.840 0.000
0.000 0.000 10.431
ATOMIC_POSITIONS crystal
Tc 0.500 0.000 0.500
Br 0.500 0.000 0.000
Cl 0.000 0.000 0.676
Cl 0.000 0.000 0.324
```

Output
Crystal system = orthorhombic
Calculated volume = 21.4 Å³/atom
Mass density = 4.8 g/cm3

***

Taking the most stable structure as the zero point, the relative energies in meV/atom are entry a 0; entry b 683; entry c 122.

***

Entry a
First-principles (SCAN) data for a crystal of Tc2BrCl relaxed with PBEsol, as listed in the Alexandria database. Values from VASP.

Quantum ESPRESSO input file:
```
&SYSTEM
  ibrav = 0, nat = 4, ntyp = 3
/
ATOMIC_SPECIES
Tc 98.00 Tc.upf
Br 79.90 Br.upf
Cl 35.45 Cl.upf
CELL_PARAMETERS angstrom
-0.777 2.062 2.103
-2.753 -3.692 2.097
5.045 -0.314 0.219
ATOMIC_POSITIONS crystal
Tc 0.000 0.000 0.500
Tc 0.500 0.500 0.500
Br 0.000 0.000 0.000
Cl 0.500 0.500 0.000
```

Output
Crystal system = monoclinic
Calculated volume = 16.0 Å³/atom
Mass density = 8.1 g/cm3

***

Entry b
First-principles (SCAN) data for a crystal of Tc2BrCl relaxed with PBEsol, as listed in the Alexandria database. Values from VASP.

Quantum ESPRESSO input file:
```
&SYSTEM
  ibrav = 0, nat = 4, ntyp = 3
/
ATOMIC_SPECIES
Tc 98.00 Tc.upf
Br 79.90 Br.upf
Cl 35.45 Cl.upf
CELL_PARAMETERS angstrom
2.898 0.000 0.000
1.449 4.918 0.011
1.449 2.112 4.442
ATOMIC_POSITIONS crystal
Tc 0.269 0.731 0.731
Tc 0.731 0.269 0.269
Br 0.500 0.000 0.000
Cl 0.000 0.500 0.500
```

Output
Crystal system = orthorhombic
Calculated volume = 15.8 Å³/atom
Mass density = 8.2 g/cm3

***

Taking the most stable structure as the zero point, the relative energies in meV/atom are entry a 0; entry b 82.